Below is a relaxed structure of Ba12MgTl6, with properties calculated at the PBE level.

Summary:
SG: R-3, No. 148
energy of formation from the pure elements: -0.157 eV per atom
spin magnetization: 0.00 μB per formula unit

abc: 10.5907 10.5907 10.5907
angles: 110.00 110.00 110.00
Fractional positions:
Ba 0.8576 0.2947 0.9619
Tl 0.3465 0.1117 0.6254
Tl 0.1117 0.6254 0.3465
Ba 0.8351 0.6272 0.5145
Ba 0.1649 0.3728 0.4855
Ba 0.7054 0.0381 0.1424
Tl 0.6254 0.3465 0.1117
Ba 0.2947 0.9619 0.8576
Mg 0.0000 0.0000 0.0000
Tl 0.8883 0.3746 0.6535
Ba 0.5145 0.8351 0.6272
Ba 0.3728 0.4855 0.1649
Ba 0.0381 0.1424 0.7054
Ba 0.1424 0.7054 0.0381
Ba 0.6272 0.5145 0.8351
Tl 0.6535 0.8883 0.3746
Ba 0.4855 0.1649 0.3728
Ba 0.9619 0.8576 0.2947
Tl 0.3746 0.6535 0.8883